[1]
! PBE ScCoRh2, optimized geometry; values from VASP
&SYSTEM
  ibrav = 0, nat = 16, ntyp = 3
/
ATOMIC_SPECIES
Sc 44.96 Sc.upf
Co 58.93 Co.upf
Rh 102.91 Rh.upf
CELL_PARAMETERS angstrom
6.2006 0.0000 0.0000
0.0000 6.2006 0.0000
0.0000 0.0000 6.2006
ATOMIC_POSITIONS angstrom
Sc 0.0000 0.0000 0.0000
Sc 0.0000 3.1003 3.1003
Sc 3.1003 0.0000 3.1003
Sc 3.1003 3.1003 0.0000
Co 1.5501 1.5501 4.6504
Co 1.5501 4.6504 1.5501
Co 4.6504 1.5501 1.5501
Co 4.6504 4.6504 4.6504
Rh 0.0000 0.0000 3.1003
Rh 0.0000 3.1003 0.0000
Rh 1.5501 1.5501 1.5501
Rh 1.5501 4.6504 4.6504
Rh 3.1003 0.0000 0.0000
Rh 3.1003 3.1003 3.1003
Rh 4.6504 1.5501 4.6504
Rh 4.6504 4.6504 1.5501
! ΔH_f (0 K)	-234	meV per atom
! E_tot	-116.3	eV/cell
! N(E_F)	23.9	states/eV per cell
! space group	F-43m (216)
! calculated density	8.63	g/cm3

=====

[2]
! PBE BaU4Ru3S12, optimized geometry; values from VASP
&SYSTEM
  ibrav = 0, nat = 20, ntyp = 4
/
ATOMIC_SPECIES
Ba 137.33 Ba.upf
U 238.03 U.upf
Ru 101.07 Ru.upf
S 32.06 S.upf
CELL_PARAMETERS angstrom
-4.8379 4.8379 4.8379
4.8379 -4.8379 4.8379
4.8379 4.8379 -4.8379
ATOMIC_POSITIONS angstrom
Ba 0.0000 0.0000 0.0000
U 2.4189 2.4189 -2.4189
U 2.4189 -2.4189 2.4189
U -2.4189 2.4189 2.4189
U 2.4189 2.4189 2.4189
Ru 4.8379 0.0000 0.0000
Ru 0.0000 4.8379 0.0000
Ru 0.0000 0.0000 4.8379
S 4.8379 -1.7745 3.2749
S 3.0633 1.5629 0.0000
S 6.6124 1.5629 0.0000
S 3.2749 4.8379 -1.7745
S 1.5629 0.0000 3.0633
S 0.0000 3.0633 1.5629
S 4.8379 1.7745 3.2749
S 3.2749 4.8379 1.7745
S 1.5629 0.0000 6.6124
S -1.7745 3.2749 4.8379
S 1.7745 3.2749 4.8379
S 0.0000 6.6124 1.5629
! E_tot	-141.9	eV/cell
! N(E_F)	25.7	states/eV per cell
! space group	Im-3 (204)
! E_form (uncorrected)	-0.87	eV per atom
! calculated density	6.52	g/cm3

=====

[3]
! PBE HoTl2I5, optimized geometry; values from VASP
&SYSTEM
  ibrav = 0, nat = 32, ntyp = 3
/
ATOMIC_SPECIES
Ho 164.93 Ho.upf
Tl 204.38 Tl.upf
I 126.90 I.upf
CELL_PARAMETERS angstrom
14.1222 0.0000 0.0000
0.0000 9.6291 0.0000
0.0000 0.0000 9.3985
ATOMIC_POSITIONS angstrom
Ho 0.0928 2.4073 0.7344
Ho 6.9683 7.2218 5.4337
Ho 7.1539 2.4073 3.9648
Ho 14.0294 7.2218 8.6641
Tl 2.3868 0.0776 5.6064
Tl 2.3868 4.7370 5.6064
Tl 4.6742 4.8921 0.9071
Tl 4.6742 9.5515 0.9071
Tl 9.4479 0.0776 8.4914
Tl 9.4479 4.7370 8.4914
Tl 11.7353 4.8921 3.7921
Tl 11.7353 9.5515 3.7921
I 0.0816 2.4073 3.9401
I 0.8630 5.2867 1.6211
I 0.8630 9.1569 1.6211
I 2.7515 2.4073 8.5841
I 2.8929 7.2218 8.0847
I 4.1682 2.4073 3.3854
I 4.3096 7.2218 3.8849
I 6.1980 0.4722 6.3204
I 6.1980 4.3424 6.3204
I 6.9795 7.2218 8.6393
I 7.1427 2.4073 0.7591
I 7.9241 5.2867 3.0781
I 7.9241 9.1569 3.0781
I 9.8126 2.4073 5.5136
I 9.9540 7.2218 6.0131
I 11.2292 2.4073 1.3138
I 11.3706 7.2218 0.8144
I 13.2591 0.4722 7.7774
I 13.2591 4.3424 7.7774
I 14.0406 7.2218 5.4584
! E_tot	-100.5	eV/cell
! N(E_F)	0.0	states/eV per cell
! space group	Pnma (62)
! E_form (uncorrected)	-1.01	eV per atom
! calculated density	6.28	g/cm3